No. 1
Ce8Ga2As | PBE-GGA | relaxed

Structure (extended XYZ):
```
11
Lattice="-0.4907 -5.1214 -1.8805 7.3462 -3.1337 -2.4848 4.7625 -3.9639 5.0013" Properties=species:S:1:pos:R:3 pbc="T T T"
Ce 5.4029 -8.8071 1.5213
Ce 1.0874 -5.8268 -0.9179
Ce 4.1261 -5.2296 -2.7276
Ce 10.5305 -6.3922 1.5538
Ce 4.0257 -5.4433 1.2446
Ce 7.5922 -6.7756 -0.6087
Ce 2.7294 -3.0255 -1.6377
Ce 6.2151 -3.4119 -0.8854
As -0.2454 -2.5607 -0.9403
Ga 4.0848 -2.4727 1.1170
Ga 8.0239 -4.6250 1.3995
```

Summary:
- Symmetry: C2/m (12)
- Formation enthalpy at 0 K: -301 meV/atom
- Calculated total energy: -5.59 eV per atom

=====

No. 2
NiRu2Rh | PBE-GGA | relaxed

Structure (extended XYZ):
```
4
Lattice="-0.1840 2.5380 -0.7389 -0.8379 -0.6641 2.4245 8.1790 1.5385 3.2479" Properties=species:S:1:pos:R:3 pbc="T T T"
Ru 0.0203 0.0038 0.0080
Ru 1.5876 1.3317 1.6761
Ni 4.0739 0.7663 1.6178
Rh 5.5649 2.0798 3.2555
```

Summary:
- Relative energy among the computed polymorphs: 0.298 eV per atom
- Symmetry: Cmm2 (35)
- Formation enthalpy at 0 K: 367 meV/atom
- Calculated total energy: -7.55 eV per atom

=====

No. 3
HoEr4Sc3 | PBE-GGA | relaxed

Structure (extended XYZ):
```
16
Lattice="6.0315 0.0000 0.0000 0.0000 6.9767 0.0000 0.0000 0.0000 10.8226" Properties=species:S:1:pos:R:3 pbc="T T T"
Sc 2.8941 2.6483 2.6979
Sc 0.9096 2.6468 5.4113
Sc 2.8941 2.6483 8.1247
Sc 5.9099 4.3284 8.1093
Sc 5.9099 4.3284 2.7134
Sc 3.9254 4.3299 0.0000
Er 5.9304 0.9121 2.7451
Er 3.9009 0.9115 0.0000
Er 5.9304 0.9121 8.0776
Er 2.9146 6.0646 2.6663
Er 0.8851 6.0652 5.4113
Er 2.9146 6.0646 8.1564
Er 3.8650 0.9066 5.4113
Er 0.8493 6.0701 0.0000
Ho 3.9252 4.3176 5.4113
Ho 0.9095 2.6592 0.0000
```

Summary:
- Relative energy among the computed polymorphs: 0.000 eV per atom
- Symmetry: Pmn2_1 (31)
- Formation enthalpy at 0 K: 19 meV/atom
- Calculated total energy: -5.21 eV per atom